Record 1
The following is a PBE calculation of crystalline Rb2PuGaBr6 at its relaxed geometry, from Alexandria.

Output
DOS at the Fermi energy: 1.05 states/eV/atom
DFT total energy: -87.57 eV for the cell shown
calculated density: 4.2 g/cm3

Lattice parameters (Å, degrees): 7.949 8.447 13.916 90.00 124.35 90.00
Space group P2_1/c (No. 14)
Symmetry-distinct sites (fractional):
Rb 0.225 0.072 0.250 x4
Pu 0.500 0.000 0.000 x2
Ga 0.000 0.000 0.500 x2
Br 0.158 0.191 0.950 x4
Br 0.268 0.712 0.951 x4
Br 0.357 0.030 0.759 x4

=====

Record 2
The following is a PBE calculation of crystalline PuTl2GaBr6 at its relaxed geometry, from Alexandria.

Output
DOS at the Fermi energy: 1.14 states/eV/atom
DFT total energy: -85.63 eV for the cell shown
calculated density: 5.5 g/cm3

Lattice parameters (Å, degrees): 7.725 8.411 13.422 90.00 123.00 90.00
Space group P2_1/c (No. 14)
Symmetry-distinct sites (fractional):
Pu 0.000 0.000 0.000 x2
Tl 0.293 0.084 0.759 x4
Ga 0.500 0.000 0.500 x2
Br 0.117 0.043 0.242 x4
Br 0.236 0.709 0.063 x4
Br 0.356 0.183 0.054 x4

=====

Record 3
The following is a PBE calculation of crystalline RbGa2Br8 at its relaxed geometry, from Alexandria.

Output
DOS at the Fermi energy: 1.04 states/eV/atom
DFT total energy: -59.99 eV for the cell shown
calculated density: 3.2 g/cm3

Lattice parameters (Å, degrees): 13.876 7.791 8.854 90.00 108.30 90.00
Space group C2/m (No. 12)
Symmetry-distinct sites (fractional):
Rb 0.000 0.000 0.000 x2
Ga 0.222 0.000 0.709 x4
Br 0.101 0.500 0.208 x4
Br 0.147 0.000 0.432 x4
Br 0.160 0.245 0.812 x8

=====

Record 4
The following is a PBE calculation of crystalline Rb3GaBr6 at its relaxed geometry, from Alexandria.

Output
DOS at the Fermi energy: 0.00 states/eV/atom
DFT total energy: -58.78 eV for the cell shown
calculated density: 3.5 g/cm3

Lattice parameters (Å, degrees): 7.983 8.374 13.911 90.00 125.00 90.00
Space group P2_1/c (No. 14)
Symmetry-distinct sites (fractional):
Rb 0.000 0.000 0.000 x2
Rb 0.275 0.070 0.750 x4
Ga 0.500 0.000 0.500 x2
Br 0.183 0.034 0.287 x4
Br 0.285 0.669 0.048 x4
Br 0.399 0.241 0.060 x4

=====

Record 5
The following is a PBE calculation of crystalline RbGaBr3 at its relaxed geometry, from Alexandria.

Output
DOS at the Fermi energy: 0.00 states/eV/atom
DFT total energy: -29.42 eV for the cell shown
calculated density: 3.2 g/cm3

Lattice parameters (Å, degrees): 5.646 8.684 9.166 65.78 83.15 84.17
Space group P1 (No. 1)
Symmetry-distinct sites (fractional):
Rb 0.000 0.000 0.000 x1
Rb 0.387 0.511 0.511 x1
Ga 0.185 0.119 0.395 x1
Ga 0.421 0.561 0.915 x1
Br 0.382 0.054 0.630 x1
Br 0.455 0.178 0.161 x1
Br 0.533 0.733 0.089 x1
Br 0.833 0.432 0.785 x1
Br 0.945 0.371 0.340 x1
Br 0.980 0.880 0.432 x1

=====

Record 6
The following is a PBE calculation of crystalline RbGa2Br at its relaxed geometry, from Alexandria.

Output
DOS at the Fermi energy: 1.08 states/eV/atom
DFT total energy: -33.51 eV for the cell shown
calculated density: 3.9 g/cm3

Lattice parameters (Å, degrees): 8.033 8.033 8.033 90.00 90.00 90.00
Space group Fm-3m (No. 225)
Symmetry-distinct sites (fractional):
Rb 0.000 0.000 0.000 x4
Ga 0.250 0.250 0.250 x8
Br 0.000 0.000 0.500 x4